Entry 1:
VASP calculation (GGA-PBE) on PmYPtAu after structural relaxation.

The formation energy is -1.03 eV per atom.

The structure belongs to space group Amm2 (No. 38); the cell edges are 4.6579, 3.8422 and 10.7976 Å and the angles 90.00°, 90.00° and 90.00°. Symmetry generates all atoms from Pm at (0.0000, 0.0000, 0.0000), Y at (0.5000, 0.0000, 0.7242), Pt at (0.0000, 0.0000, 0.2728) and Au at (0.5000, 0.0000, 0.4463).

Entry 2:
VASP calculation (GGA-PBE) on LiPmSn2Rh4 after structural relaxation.

The formation energy is -0.62 eV per atom.

The structure belongs to space group R-3m (No. 166, hexagonal axes); the cell edges are 4.5047, 4.5047 and 23.6652 Å and the angles 90.00°, 90.00° and 120.00°. Symmetry generates all atoms from Li at (0.0000, 0.0000, 0.0000), Pm at (0.0000, 0.0000, 0.5000), Sn at (0.0000, 0.0000, 0.2591), Rh at (0.0000, 0.0000, 0.1096) and Rh at (0.0000, 0.0000, 0.3725).

Entry 3:
VASP calculation (GGA-PBE) on VGaNi2 after structural relaxation.

The formation energy is -0.13 eV per atom.

The structure belongs to space group R3m (No. 160, hexagonal axes); the cell edges are 2.6717, 2.6717 and 24.2039 Å and the angles 90.00°, 90.00° and 120.00°. Symmetry generates all atoms from V at (0.0000, 0.0000, 0.0000), Ga at (0.0000, 0.0000, 0.1665), Ni at (0.0000, 0.0000, 0.4171) and Ni at (0.0000, 0.0000, 0.5828).

Entry 4:
VASP calculation (GGA-PBE) on Ca2MoS after structural relaxation.

The value obtained for the uncorrected formation energy is -0.07 eV/atom.

The structure belongs to space group I-42d (No. 122); the cell edges are 10.0813, 10.0813 and 4.5345 Å and the angles 90.00°, 90.00° and 90.00°. Symmetry generates all atoms from Ca at (0.0984, 0.2500, 0.1250), Mo at (0.0000, 0.0000, 0.5000) and S at (0.0000, 0.0000, 0.0000).

Entry 5:
VASP calculation (GGA-PBE) on Zr3TiSn2 after structural relaxation.

The formation energy is -0.44 eV per atom.

The structure belongs to space group C2/c (No. 15); the cell edges are 8.0783, 15.9160 and 5.7765 Å and the angles 90.00°, 134.32° and 90.00°. Symmetry generates all atoms from Zr at (0.0000, 0.0007, 0.2500), Zr at (0.2427, 0.1786, 0.2390), Ti at (0.0000, 0.4973, 0.7500) and Sn at (0.2380, 0.3650, 0.2414).

Entry 6:
VASP calculation (GGA-PBE) on DyCd6Ag6 after structural relaxation.

The formation energy is -0.10 eV per atom.

The structure belongs to space group Immm (No. 71); the cell edges are 5.5917, 9.7573 and 9.9163 Å and the angles 90.00°, 90.00° and 90.00°. Symmetry generates all atoms from Dy at (0.0000, 0.0000, 0.0000), Cd at (0.0000, 0.0000, 0.3454), Cd at (0.0000, 0.3442, 0.0000), Cd at (0.0000, 0.5000, 0.3082), Ag at (0.0000, 0.2773, 0.5000) and Ag at (0.2500, 0.2500, 0.2500).

Entry 7:
VASP calculation (GGA-PBE) on Li2YAg8 after structural relaxation.

The formation energy is -0.16 eV per atom.

The structure belongs to space group C2/m (No. 12); the cell edges are 15.1619, 4.1128 and 6.7679 Å and the angles 90.00°, 107.36° and 90.00°. Symmetry generates all atoms from Li at (0.2212, 0.0000, 0.1447), Y at (0.0000, 0.5000, 0.5000), Ag at (0.0473, 0.0000, 0.2178), Ag at (0.0994, 0.5000, 0.9662), Ag at (0.1474, 0.0000, 0.7058) and Ag at (0.1851, 0.5000, 0.4149).

Entry 8:
VASP calculation (GGA-PBE) on Ac2EuSn after structural relaxation.

The formation energy is -0.31 eV per atom.

The structure belongs to space group P4/mmm (No. 123); the cell edges are 4.4375, 4.4375 and 7.6388 Å and the angles 90.00°, 90.00° and 90.00°. Symmetry generates all atoms from Ac at (0.0000, 0.0000, 0.2221), Eu at (0.5000, 0.5000, 0.5000) and Sn at (0.5000, 0.5000, 0.0000).

Entry 9:
VASP calculation (GGA-PBE) on PaMn4In after structural relaxation.

The formation energy is 0.11 eV per atom.

The structure belongs to space group F-43m (No. 216); the cell edges are 7.2369, 7.2369 and 7.2369 Å and the angles 90.00°, 90.00° and 90.00°. Symmetry generates all atoms from Pa at (0.0000, 0.0000, 0.0000), Mn at (0.1243, 0.1243, 0.6243) and In at (0.2500, 0.2500, 0.2500).

Entry 10:
VASP calculation (GGA-PBE) on TePW2 after structural relaxation.

The value obtained for the uncorrected formation energy is 0.23 eV/atom.

The structure belongs to space group Pmm2 (No. 25); the cell edges are 3.2213, 4.5635 and 4.8336 Å and the angles 90.00°, 90.00° and 90.00°. Symmetry generates all atoms from Te at (0.0000, 0.0000, 0.0000), P at (0.5000, 0.5000, 0.3060), W at (0.0000, 0.5000, 0.6850) and W at (0.5000, 0.0000, 0.5012).

Entry 11:
VASP calculation (GGA-PBE) on Li2ReAu after structural relaxation.

The formation energy is 0.07 eV per atom.

The structure belongs to space group R-3m (No. 166, hexagonal axes); the cell edges are 2.7481, 2.7481 and 27.9536 Å and the angles 90.00°, 90.00° and 120.00°. Symmetry generates all atoms from Li at (0.0000, 0.0000, 0.2483), Re at (0.0000, 0.0000, 0.5000) and Au at (0.0000, 0.0000, 0.0000).

Entry 12:
VASP calculation (GGA-PBE) on CrInFe2 after structural relaxation.

The formation energy is 0.26 eV per atom.

The structure belongs to space group P4/mmm (No. 123); the cell edges are 2.8559, 2.8559 and 6.4968 Å and the angles 90.00°, 90.00° and 90.00°. Symmetry generates all atoms from Cr at (0.0000, 0.0000, 0.0000), In at (0.0000, 0.0000, 0.5000) and Fe at (0.5000, 0.5000, 0.2032).